1.
First-principles (PBE) data for a relaxed SbP2Cl crystal, as listed in Alexandria.

```
SbP2Cl
1.0
1.862 -3.472 0.000
1.862 3.472 0.000
0.000 0.000 7.435
Sb P Cl
1 2 1
Direct
0.000 0.000 0.000 Sb
0.500 0.500 0.237 P
0.500 0.500 0.763 P
0.000 0.000 0.500 Cl
```

## Properties
M_tot ... 0.000 μB/atom
DOS at the Fermi energy ... 1.814 states/eV/f.u.
Formation energy (no corrections) ... 589 meV/atom


2.
First-principles (PBE) data for a relaxed TiTl2SnTe crystal, as listed in Alexandria.

```
TiTl2SnTe
1.0
5.720 0.000 0.000
0.000 5.720 0.000
0.000 0.000 5.471
Ti Tl Sn Te
1 2 1 1
Direct
0.000 0.000 0.000 Ti
0.000 0.500 0.500 Tl
0.500 0.000 0.500 Tl
0.000 0.000 0.500 Sn
0.500 0.500 0.000 Te
```

## Properties
M_tot ... 0.397 μB/atom
DOS at the Fermi energy ... 5.138 states/eV/f.u.
Formation energy (no corrections) ... 491 meV/atom


3.
First-principles (PBE) data for a relaxed Sm2Ga8Co crystal, as listed in Alexandria.

```
Sm2Ga8Co
1.0
4.282 0.000 0.000
0.000 4.282 0.000
0.000 0.000 11.269
Sm Ga Co
2 8 1
Direct
0.000 0.000 0.196 Sm
0.000 0.000 0.804 Sm
0.000 0.500 0.000 Ga
0.000 0.500 0.386 Ga
0.000 0.500 0.614 Ga
0.500 0.000 0.000 Ga
0.500 0.000 0.386 Ga
0.500 0.000 0.614 Ga
0.500 0.500 0.194 Ga
0.500 0.500 0.806 Ga
0.000 0.000 0.500 Co
```

## Properties
M_tot ... 0.000 μB/atom
DOS at the Fermi energy ... 4.962 states/eV/f.u.
Energy relative to the elements ... -484 meV per atom


4.
First-principles (PBE) data for a relaxed Sr2AlZn3Pt4 crystal, as listed in Alexandria.

```
Sr2AlZn3Pt4
1.0
4.338 0.000 0.000
0.000 4.338 0.000
0.000 0.000 10.625
Sr Al Zn Pt
2 1 3 4
Direct
0.000 0.500 0.241 Sr
0.500 0.000 0.759 Sr
0.000 0.000 0.500 Al
0.000 0.500 0.868 Zn
0.500 0.000 0.132 Zn
0.500 0.500 0.500 Zn
0.000 0.000 0.000 Pt
0.000 0.500 0.627 Pt
0.500 0.000 0.373 Pt
0.500 0.500 0.000 Pt
```

## Properties
M_tot ... 0.000 μB/atom
DOS at the Fermi energy ... 5.965 states/eV/f.u.
Energy relative to the elements ... -756 meV per atom